# PBE Er12Hf5Pb3, optimized geometry
# N(E_F): 133.79 states/eV/cell
# E: -4.79 eV/atom
# Total magnetic moment: 0.72 μB/f.u.
data_Er12Hf5Pb3
_space_group_name_H-M_alt 'P 1'
_space_group_IT_number 1
_space_group_name_Hall 'P 1'
_cell_length_a 15.3341
_cell_length_b 15.3341
_cell_length_c 15.3341
_cell_angle_alpha 109.47
_cell_angle_beta 109.47
_cell_angle_gamma 109.47
loop_
_atom_site_label
_atom_site_type_symbol
_atom_site_fract_x
_atom_site_fract_y
_atom_site_fract_z
Er1 Er 0.6340 0.5737 0.9107
Er2 Er 0.4263 0.0603 0.3370
Er3 Er 0.9107 0.8370 0.7767
Er4 Er 0.3370 0.5603 0.4263
Er5 Er 0.1630 0.0893 0.7233
Er6 Er 0.8660 0.2767 0.4397
Er7 Er 0.5893 0.8660 0.4263
Er8 Er 0.8370 0.9263 0.0603
Er9 Er 0.3370 0.7767 0.4107
Er10 Er 0.9263 0.8370 0.5603
Er11 Er 0.9107 0.0737 0.6340
Er12 Er 0.7233 0.1340 0.0603
Er13 Er 0.2233 0.5603 0.6340
Er14 Er 0.0603 0.6340 0.7233
Er15 Er 0.9397 0.5737 0.1630
Er16 Er 0.4107 0.2767 0.3370
Er17 Er 0.5737 0.9397 0.6630
Er18 Er 0.6630 0.4397 0.5737
Er19 Er 0.2767 0.4107 0.8370
Er20 Er 0.0603 0.4263 0.8370
Er21 Er 0.2233 0.6630 0.0893
Er22 Er 0.9397 0.3660 0.2767
Er23 Er 0.9263 0.0893 0.8660
Er24 Er 0.6340 0.0603 0.2233
Er25 Er 0.0737 0.1630 0.4397
Er26 Er 0.1340 0.7233 0.5603
Er27 Er 0.4107 0.1340 0.5737
Er28 Er 0.0893 0.1630 0.2233
Er29 Er 0.2767 0.8660 0.9397
Er30 Er 0.4263 0.3660 0.5893
Er31 Er 0.7767 0.3370 0.9107
Er32 Er 0.5893 0.7233 0.6630
Er33 Er 0.4397 0.7767 0.8660
Er34 Er 0.3660 0.4263 0.0893
Er35 Er 0.5603 0.3370 0.9263
Er36 Er 0.8660 0.5893 0.9263
Er37 Er 0.5603 0.2233 0.1340
Er38 Er 0.8370 0.9107 0.2767
Er39 Er 0.7233 0.5893 0.1630
Er40 Er 0.0737 0.9107 0.1340
Er41 Er 0.4397 0.6630 0.0737
Er42 Er 0.6630 0.2233 0.5893
Er43 Er 0.1340 0.4107 0.0737
Er44 Er 0.3660 0.9397 0.7767
Er45 Er 0.7767 0.4397 0.3660
Er46 Er 0.0893 0.9263 0.3660
Er47 Er 0.5737 0.6340 0.4107
Er48 Er 0.1630 0.0737 0.9397
Hf1 Hf 0.1250 0.3750 0.2500
Hf2 Hf 0.5000 0.0000 0.0000
Hf3 Hf 0.5000 0.5000 0.0000
Hf4 Hf 0.3750 0.1250 0.7500
Hf5 Hf 0.0000 0.0000 0.5000
Hf6 Hf 0.8750 0.2500 0.6250
Hf7 Hf 0.2500 0.3750 0.6250
Hf8 Hf 0.3750 0.2500 0.1250
Hf9 Hf 0.7500 0.6250 0.3750
Hf10 Hf 0.8750 0.6250 0.7500
Hf11 Hf 0.0000 0.0000 0.0000
Hf12 Hf 0.0000 0.5000 0.0000
Hf13 Hf 0.2500 0.8750 0.1250
Hf14 Hf 0.5000 0.0000 0.5000
Hf15 Hf 0.0000 0.5000 0.5000
Hf16 Hf 0.6250 0.7500 0.8750
Hf17 Hf 0.1250 0.7500 0.3750
Hf18 Hf 0.6250 0.8750 0.2500
Hf19 Hf 0.7500 0.1250 0.8750
Hf20 Hf 0.5000 0.5000 0.5000
Pb1 Pb 0.7500 0.8750 0.6250
Pb2 Pb 0.7500 0.3750 0.1250
Pb3 Pb 0.8750 0.1250 0.2500
Pb4 Pb 0.2500 0.1250 0.3750
Pb5 Pb 0.3750 0.6250 0.2500
Pb6 Pb 0.8750 0.7500 0.1250
Pb7 Pb 0.6250 0.2500 0.3750
Pb8 Pb 0.1250 0.2500 0.8750
Pb9 Pb 0.1250 0.8750 0.7500
Pb10 Pb 0.2500 0.6250 0.8750
Pb11 Pb 0.3750 0.7500 0.6250
Pb12 Pb 0.6250 0.3750 0.7500

# PBE ErHfPb2, optimized geometry
# N(E_F): 2.90 states/eV/cell
# E: -5.60 eV/atom
# Total magnetic moment: 0.31 μB/f.u.
data_ErHfPb2
_space_group_name_H-M_alt 'P 1'
_space_group_IT_number 1
_space_group_name_Hall 'P 1'
_cell_length_a 3.3910
_cell_length_b 3.3910
_cell_length_c 8.8295
_cell_angle_alpha 90.00
_cell_angle_beta 90.00
_cell_angle_gamma 90.00
loop_
_atom_site_label
_atom_site_type_symbol
_atom_site_fract_x
_atom_site_fract_y
_atom_site_fract_z
Er1 Er 0.5000 0.5000 0.5000
Pb1 Pb 0.0000 0.0000 0.7599
Pb2 Pb 0.0000 0.0000 0.2401
Hf1 Hf 0.5000 0.5000 0.0000

# PBE ErHfPb2, optimized geometry
# N(E_F): 3.04 states/eV/cell
# E: -5.57 eV/atom
# Total magnetic moment: 0.00 μB/f.u.
data_ErHfPb2
_space_group_name_H-M_alt 'P 1'
_space_group_IT_number 1
_space_group_name_Hall 'P 1'
_cell_length_a 4.8675
_cell_length_b 4.8675
_cell_length_c 5.8798
_cell_angle_alpha 65.55
_cell_angle_beta 65.55
_cell_angle_gamma 60.00
loop_
_atom_site_label
_atom_site_type_symbol
_atom_site_fract_x
_atom_site_fract_y
_atom_site_fract_z
Hf1 Hf 0.5000 0.5000 0.5000
Pb1 Pb 0.7562 0.7562 0.7315
Pb2 Pb 0.2438 0.2438 0.2685
Er1 Er 0.0000 0.0000 0.0000

# PBE ErHfPb, optimized geometry
# N(E_F): 4.63 states/eV/cell
# E: -5.99 eV/atom
# Total magnetic moment: 1.02 μB/f.u.
data_ErHfPb
_space_group_name_H-M_alt 'P 1'
_space_group_IT_number 1
_space_group_name_Hall 'P 1'
_cell_length_a 3.3665
_cell_length_b 5.2116
_cell_length_c 5.2116
_cell_angle_alpha 120.00
_cell_angle_beta 90.00
_cell_angle_gamma 90.00
loop_
_atom_site_label
_atom_site_type_symbol
_atom_site_fract_x
_atom_site_fract_y
_atom_site_fract_z
Er1 Er 0.6662 0.6667 0.3333
Pb1 Pb 0.1683 0.3333 0.6667
Hf1 Hf 0.1655 0.0000 0.0000

# PBE ErHfPb, optimized geometry
# N(E_F): 3.98 states/eV/cell
# E: -6.15 eV/atom
# Total magnetic moment: 0.00 μB/f.u.
data_ErHfPb
_space_group_name_H-M_alt 'P 1'
_space_group_IT_number 1
_space_group_name_Hall 'P 1'
_cell_length_a 3.6490
_cell_length_b 3.6490
_cell_length_c 6.3634
_cell_angle_alpha 106.66
_cell_angle_beta 106.66
_cell_angle_gamma 90.00
loop_
_atom_site_label
_atom_site_type_symbol
_atom_site_fract_x
_atom_site_fract_y
_atom_site_fract_z
Er1 Er 0.9513 0.9513 0.9026
Pb1 Pb 0.2758 0.2758 0.5516
Hf1 Hf 0.6229 0.6229 0.2458

# PBE ErHfPb2, optimized geometry
# N(E_F): 5.03 states/eV/cell
# E: -5.57 eV/atom
# Total magnetic moment: 0.00 μB/f.u.
data_ErHfPb2
_space_group_name_H-M_alt 'P 1'
_space_group_IT_number 1
_space_group_name_Hall 'P 1'
_cell_length_a 4.3748
_cell_length_b 4.8286
_cell_length_c 4.8286
_cell_angle_alpha 90.00
_cell_angle_beta 90.00
_cell_angle_gamma 90.00
loop_
_atom_site_label
_atom_site_type_symbol
_atom_site_fract_x
_atom_site_fract_y
_atom_site_fract_z
Hf1 Hf 0.5000 0.0000 0.0000
Pb1 Pb 0.0000 0.5000 0.0000
Pb2 Pb 0.0000 0.0000 0.5000
Er1 Er 0.5000 0.5000 0.5000

# PBE ErHfPb, optimized geometry
# N(E_F): 8.70 states/eV/cell
# E: -6.34 eV/atom
# Total magnetic moment: 0.00 μB/f.u.
data_ErHfPb
_space_group_name_H-M_alt 'P 1'
_space_group_IT_number 1
_space_group_name_Hall 'P 1'
_cell_length_a 4.3728
_cell_length_b 4.3728
_cell_length_c 8.8114
_cell_angle_alpha 104.37
_cell_angle_beta 104.37
_cell_angle_gamma 90.00
loop_
_atom_site_label
_atom_site_type_symbol
_atom_site_fract_x
_atom_site_fract_y
_atom_site_fract_z
Er1 Er 0.6692 0.6692 0.3383
Er2 Er 0.3308 0.3308 0.6617
Pb1 Pb 0.1368 0.1368 0.2736
Pb2 Pb 0.8632 0.8632 0.7264
Hf1 Hf 0.0000 0.5000 0.0000
Hf2 Hf 0.5000 0.0000 0.0000

# PBE ErHfPb2, optimized geometry
# N(E_F): 2.34 states/eV/cell
# E: -5.48 eV/atom
# Total magnetic moment: 0.00 μB/f.u.
data_ErHfPb2
_space_group_name_H-M_alt 'P 1'
_space_group_IT_number 1
_space_group_name_Hall 'P 1'
_cell_length_a 4.5919
_cell_length_b 4.5919
_cell_length_c 6.9064
_cell_angle_alpha 70.58
_cell_angle_beta 70.58
_cell_angle_gamma 60.00
loop_
_atom_site_label
_atom_site_type_symbol
_atom_site_fract_x
_atom_site_fract_y
_atom_site_fract_z
Pb1 Pb 0.0870 0.0870 0.7391
Pb2 Pb 0.2484 0.2484 0.2549
Er1 Er 0.6715 0.6715 0.9854
Hf1 Hf 0.4931 0.4931 0.5206

| no. | calculated formation energy (meV/atom) |
| --- | --- |
| 1 | 991 |
| 2 | -119 |
| 3 | -89 |
| 4 | 84 |
| 5 | -74 |
| 6 | -84 |
| 7 | -263 |
| 8 | 1 |